(1)
# Ac2ZnAgPt

A relaxed Ac2ZnAgPt crystal (GGA-PBE, Alexandria).

a = 4.633 Å, b = 6.755 Å, c = 9.179 Å
α = 94.31°, β = 90.00°, γ = 90.00°
Atoms (fractional coordinates):
Pt 0.750 0.238 0.141
Pt 0.250 0.762 0.859
Ac 0.250 0.165 0.350
Ac 0.250 0.241 0.920
Ac 0.750 0.835 0.650
Ac 0.750 0.759 0.080
Ag 0.750 0.309 0.632
Ag 0.250 0.691 0.368
Zn 0.250 0.494 0.628
Zn 0.750 0.506 0.372

Summary:
Its symmetry is No. 11. The value obtained for the formation energy is -586 meV per atom. For the density of states at the Fermi level, the calculation gives 0.709 states/eV/atom.

---

(2)
# AcPu2Ag9

A relaxed AcPu2Ag9 crystal (GGA-PBE, Alexandria).

a = 5.715 Å, b = 5.715 Å, c = 10.003 Å
α = 73.40°, β = 73.40°, γ = 60.00°
Each line ends with the local moment (μB).
Atoms (fractional coordinates):
Pu 0.150 0.150 0.551  5.65
Pu 0.850 0.850 0.449  5.65
Ag 0.668 0.668 0.997  0.00
Ag 0.584 0.084 0.748  0.03
Ag 0.332 0.332 0.003  0.00
Ag 0.584 0.584 0.748  0.03
Ag 0.416 0.416 0.252  0.03
Ag 0.500 0.500 0.500  0.04
Ag 0.084 0.584 0.748  0.03
Ag 0.416 0.916 0.252  0.03
Ag 0.916 0.416 0.252  0.03
Ac 0.000 0.000 0.000  0.05

Summary:
Its symmetry is No. 166. The value obtained for the formation energy is -66 meV per atom. For the density of states at the Fermi level, the calculation gives 1.906 states/eV/atom.

---

(3)
# AcPuAg4

A relaxed AcPuAg4 crystal (GGA-PBE, Alexandria).

a = 5.860 Å, b = 5.860 Å, c = 5.860 Å
α = 60.00°, β = 60.00°, γ = 60.00°
Each line ends with the local moment (μB).
Atoms (fractional coordinates):
Ag 0.624 0.624 0.624  0.01
Ag 0.624 0.624 0.127  0.01
Ag 0.127 0.624 0.624  0.01
Ag 0.624 0.127 0.624  0.01
Ac 0.000 0.000 0.000  0.14
Pu 0.250 0.250 0.250  5.62

Summary:
Its symmetry is No. 216. The value obtained for the formation energy is -38 meV per atom. For the density of states at the Fermi level, the calculation gives 2.490 states/eV/atom.

---

(4)
# Ac2PuAg9

A relaxed Ac2PuAg9 crystal (GGA-PBE, Alexandria).

a = 5.819 Å, b = 5.819 Å, c = 10.090 Å
α = 73.24°, β = 73.24°, γ = 60.00°
Each line ends with the local moment (μB).
Atoms (fractional coordinates):
Ac 0.861 0.861 0.417  0.05
Ac 0.139 0.139 0.583  0.05
Ag 0.920 0.418 0.244  0.02
Ag 0.500 0.500 0.500  0.01
Ag 0.667 0.667 0.999  0.02
Ag 0.582 0.080 0.756  0.02
Ag 0.080 0.582 0.756  0.02
Ag 0.418 0.920 0.244  0.02
Ag 0.333 0.333 0.001  0.02
Ag 0.418 0.418 0.244  0.02
Ag 0.582 0.582 0.756  0.02
Pu 0.000 0.000 0.000  5.63

Summary:
Its symmetry is No. 166. The value obtained for the formation energy is -64 meV per atom. For the density of states at the Fermi level, the calculation gives 1.768 states/eV/atom.

---

(5)
# AcPu2Ag6

A relaxed AcPu2Ag6 crystal (GGA-PBE, Alexandria).

a = 3.329 Å, b = 8.600 Å, c = 8.600 Å
α = 120.00°, β = 90.00°, γ = 90.00°
Each line ends with the local moment (μB).
Atoms (fractional coordinates):
Ag 0.500 0.000 0.338  0.02
Ag 0.500 0.338 0.000  0.02
Ag 0.500 0.662 0.000  0.02
Ag 0.500 0.000 0.662  0.02
Ag 0.500 0.662 0.662  0.02
Ag 0.500 0.338 0.338  0.02
Ac 0.000 0.000 0.000  0.04
Pu 0.000 0.667 0.333  5.60
Pu 0.000 0.333 0.667  5.60

Summary:
Its symmetry is No. 191. The value obtained for the formation energy is -61 meV per atom. For the density of states at the Fermi level, the calculation gives 2.296 states/eV/atom.

---

(6)
# Ac2Pu2Ag15

A relaxed Ac2Pu2Ag15 crystal (GGA-PBE, Alexandria).

a = 7.525 Å, b = 7.525 Å, c = 7.525 Å
α = 82.38°, β = 82.38°, γ = 82.38°
Each line ends with the local moment (μB).
Atoms (fractional coordinates):
Ag 0.000 0.695 0.305  0.01
Ag 0.000 0.000 0.500  0.03
Ag 0.305 0.695 0.000  0.01
Ag 0.305 0.000 0.695  0.01
Ag 0.352 0.352 0.841  0.01
Ag 0.648 0.159 0.648  0.01
Ag 0.695 0.000 0.305  0.01
Ag 0.000 0.305 0.695  0.01
Ag 0.352 0.841 0.352  0.01
Ag 0.500 0.000 0.000  0.03
Ag 0.159 0.648 0.648  0.01
Ag 0.841 0.352 0.352  0.01
Ag 0.648 0.648 0.159  0.01
Ag 0.000 0.500 0.000  0.03
Ag 0.695 0.305 0.000  0.01
Pu 0.904 0.904 0.904  5.65
Pu 0.096 0.096 0.096  5.65
Ac 0.347 0.347 0.347  0.05
Ac 0.653 0.653 0.653  0.05

Summary:
Its symmetry is No. 166. The value obtained for the formation energy is -62 meV per atom. For the density of states at the Fermi level, the calculation gives 1.680 states/eV/atom.

---

(7)
# Ac2PuAg

A relaxed Ac2PuAg crystal (GGA-PBE, Alexandria).

a = 3.712 Å, b = 3.712 Å, c = 12.292 Å
α = 81.32°, β = 81.32°, γ = 60.00°
Each line ends with the local moment (μB).
Atoms (fractional coordinates):
Pu 0.000 0.000 0.000  5.83
Ac 0.097 0.097 0.710  0.02
Ac 0.903 0.903 0.290  0.02
Ag 0.500 0.500 0.500  0.00

Summary:
Its symmetry is No. 166. The value obtained for the formation energy is 362 meV per atom. The energy above the most stable polymorph in this dataset is 1.30 eV/f.u. For the density of states at the Fermi level, the calculation gives 3.264 states/eV/atom.

---

(8)
# AcPu2Ag

A relaxed AcPu2Ag crystal (GGA-PBE, Alexandria).

a = 3.847 Å, b = 3.847 Å, c = 8.129 Å
α = 90.00°, β = 90.00°, γ = 90.00°
Each line ends with the local moment (μB).
Atoms (fractional coordinates):
Ag 0.500 0.500 0.000  0.05
Pu 0.000 0.000 0.801  5.56
Pu 0.000 0.000 0.199  5.56
Ac 0.500 0.500 0.500  0.15

Summary:
Its symmetry is No. 123. The value obtained for the formation energy is 224 meV per atom. For the density of states at the Fermi level, the calculation gives 4.210 states/eV/atom.

---

(9)
# AcPuAg10

A relaxed AcPuAg10 crystal (GGA-PBE, Alexandria).

a = 4.727 Å, b = 5.671 Å, c = 9.834 Å
α = 90.00°, β = 90.00°, γ = 90.00°
Each line ends with the local moment (μB).
Atoms (fractional coordinates):
Ag 0.000 0.000 0.327  0.01
Ag 0.500 0.249 0.752  0.01
Ag 0.000 0.500 0.839  0.01
Ag 0.500 0.751 0.752  0.01
Ag 0.500 0.500 0.000  0.02
Ag 0.500 0.751 0.248  0.01
Ag 0.000 0.000 0.673  0.01
Ag 0.500 0.249 0.248  0.01
Ag 0.500 0.000 0.500  0.01
Ag 0.000 0.500 0.161  0.01
Ac 0.000 0.500 0.500  0.01
Pu 0.000 0.000 0.000  5.56

Summary:
Its symmetry is No. 47. The value obtained for the formation energy is -49 meV per atom. For the density of states at the Fermi level, the calculation gives 1.927 states/eV/atom.

---

(10)
# Ac2PuAg

A relaxed Ac2PuAg crystal (GGA-PBE, Alexandria).

a = 3.865 Å, b = 3.865 Å, c = 9.129 Å
α = 90.00°, β = 90.00°, γ = 90.00°
Each line ends with the local moment (μB).
Atoms (fractional coordinates):
Ac 0.000 0.000 0.777  0.11
Ac 0.000 0.000 0.223  0.11
Pu 0.500 0.500 0.500  5.72
Ag 0.500 0.500 0.000  0.00

Summary:
Its symmetry is No. 123. The value obtained for the formation energy is 36 meV per atom. The energy above the most stable polymorph in this dataset is 0.00 eV/f.u. For the density of states at the Fermi level, the calculation gives 2.631 states/eV/atom.

---

(11)
# AcPuAgS4

A relaxed AcPuAgS4 crystal (GGA-PBE, Alexandria).

a = 7.051 Å, b = 5.691 Å, c = 8.442 Å
α = 90.00°, β = 106.94°, γ = 90.00°
Each line ends with the local moment (μB).
Atoms (fractional coordinates):
Pu 0.734 0.750 0.432  5.15
Pu 0.266 0.250 0.568  5.15
S 0.561 0.250 0.884  -0.03
S 0.039 0.526 0.741  -0.01
S 0.039 0.974 0.741  -0.01
S 0.552 0.250 0.390  -0.07
S 0.961 0.026 0.259  -0.01
S 0.961 0.474 0.259  -0.01
S 0.439 0.750 0.116  -0.03
S 0.448 0.750 0.610  -0.07
Ag 0.246 0.750 0.319  0.00
Ag 0.754 0.250 0.681  0.00
Ac 0.265 0.250 0.062  0.01
Ac 0.735 0.750 0.938  0.01

Summary:
For the energy, the calculation gives -93.45 eV for the cell shown. Its symmetry is No. 11. For the density of states at the Fermi level, the calculation gives 1.689 states/eV/atom.

---

(12)
# AcPuAgSn

A relaxed AcPuAgSn crystal (GGA-PBE, Alexandria).

a = 5.524 Å, b = 5.524 Å, c = 5.524 Å
α = 60.00°, β = 60.00°, γ = 60.00°
Each line ends with the local moment (μB).
Atoms (fractional coordinates):
Sn 0.250 0.250 0.250  -0.06
Ac 0.000 0.000 0.000  0.11
Pu 0.500 0.500 0.500  5.57
Ag 0.750 0.750 0.750  0.03

Summary:
Its symmetry is No. 216. The value obtained for the formation energy is -271 meV per atom. For the density of states at the Fermi level, the calculation gives 3.000 states/eV/atom.

---

no.,ρ (g/cm³)
1,9.53
2,10.48
3,10.53
4,9.93
5,10.61
6,10.22
7,9.27
8,11.36
9,9.76
10,9.81
11,7.25
12,9.72